# 1
Compound: UCoNi2
Source: Alexandria
Functional: GGA-PBE
Structure: relaxed

Computed properties:
Energy of formation from the pure elements, eV/atom: -0.19
Total DFT energy (no corrections), eV/cell: -30.70
Energy relative to the lowest polymorph listed for this composition, eV/f.u.: 0.04

a b c (Å): 3.7279 3.7279 3.9705
angles (deg): 90.00 90.00 90.00
Space group P4/mmm (No. 123)
Inequivalent atoms, fractional coordinates:
U 0.0000 0.0000 0.0000 x1
Co 0.5000 0.5000 0.0000 x1
Ni 0.0000 0.5000 0.5000 x2

# 2
Compound: VSbSe2N
Source: Alexandria
Functional: GGA-PBE
Structure: relaxed

Computed properties:
Total DFT energy (no corrections), eV/cell: -22.85
Energy relative to the lowest polymorph listed for this composition, eV/f.u.: 5.78
Energy relative to the elements, uncorrected, eV/atom: 1.136

a b c (Å): 5.3321 5.3321 3.8402
angles (deg): 90.00 90.00 90.00
Space group P4/mmm (No. 123)
Inequivalent atoms, fractional coordinates:
V 0.0000 0.0000 0.0000 x1
Sb 0.5000 0.5000 0.5000 x1
Se 0.0000 0.5000 0.5000 x2
N 0.5000 0.5000 0.0000 x1

# 3
Compound: Ta2Nb4Mo
Source: Alexandria
Functional: GGA-PBE
Structure: relaxed

Computed properties:
Energy of formation from the pure elements, eV/atom: -0.04
Total DFT energy (no corrections), eV/cell: -75.12
Energy relative to the lowest polymorph listed for this composition, eV/f.u.: 0.00

a b c (Å): 2.8728 7.1213 7.1239
angles (deg): 117.64 97.99 97.15
Space group P-1 (No. 2)
Inequivalent atoms, fractional coordinates:
Ta 0.2185 0.2832 0.3615 x2
Nb 0.0629 0.4259 0.7849 x2
Nb 0.3697 0.1397 0.9244 x2
Mo 0.5000 0.0000 0.5000 x1

Question: Which value of total DFT energy (no corrections) does entry 3 give?
Answer: -75.12 eV/cell